1.
VASP calculation (PBE) on a relaxed structure of Ac3ZnIr.

Properties
N(E_F) ... 4.16 states/eV/f.u.
Formation enthalpy at 0 K ... -0.41 eV per atom

Cell lengths 9.8390, 4.3839, 16.0417 Å; angles 90.00, 90.00, 90.00 degrees
Atoms (fractional coordinates):
Ac: 0.0059 0.2500 0.1063
Ac: 0.1584 0.7500 0.4610
Ac: 0.1729 0.2500 0.7006
Ac: 0.3271 0.7500 0.2006
Ac: 0.3416 0.2500 0.9610
Ac: 0.4941 0.7500 0.6063
Ac: 0.5059 0.2500 0.3937
Ac: 0.6584 0.7500 0.0390
Ac: 0.6729 0.2500 0.7994
Ac: 0.8271 0.7500 0.2994
Ac: 0.8416 0.2500 0.5390
Ac: 0.9941 0.7500 0.8937
Zn: 0.1170 0.2500 0.3034
Zn: 0.3830 0.7500 0.8034
Zn: 0.6170 0.2500 0.1966
Zn: 0.8830 0.7500 0.6966
Ir: 0.1884 0.7500 0.0408
Ir: 0.3116 0.2500 0.5408
Ir: 0.6884 0.7500 0.4592
Ir: 0.8116 0.2500 0.9592

=====

2.
VASP calculation (PBE) on a relaxed structure of Ac3Zn2Ir7.

Properties
N(E_F) ... 5.52 states/eV/f.u.
Formation enthalpy at 0 K ... -0.52 eV per atom

Cell lengths 9.1540, 9.1540, 9.1540 Å; angles 35.56, 35.56, 35.56 degrees
Atoms (fractional coordinates):
Ac: 0.0000 0.0000 0.0000
Ac: 0.1399 0.1399 0.1399
Ac: 0.8601 0.8601 0.8601
Zn: 0.3348 0.3348 0.3348
Zn: 0.6652 0.6652 0.6652
Ir: 0.0770 0.5834 0.5834
Ir: 0.4166 0.4166 0.9230
Ir: 0.4166 0.9230 0.4166
Ir: 0.5000 0.5000 0.5000
Ir: 0.5834 0.0770 0.5834
Ir: 0.5834 0.5834 0.0770
Ir: 0.9230 0.4166 0.4166

=====

3.
VASP calculation (PBE) on a relaxed structure of AcZn2Ir2.

Properties
N(E_F) ... 2.46 states/eV/f.u.
Formation enthalpy at 0 K ... -0.41 eV per atom

Cell lengths 11.5052, 11.5052, 11.5052 Å; angles 158.92, 158.92, 29.98 degrees
Atoms (fractional coordinates):
Ac: 0.1285 0.1285 0.0000
Ac: 0.8715 0.8715 0.0000
Zn: 0.0000 0.5000 0.5000
Zn: 0.3168 0.3168 0.0000
Zn: 0.5000 0.0000 0.5000
Zn: 0.6832 0.6832 0.0000
Ir: 0.2500 0.7500 0.5000
Ir: 0.4324 0.4324 0.0000
Ir: 0.5676 0.5676 0.0000
Ir: 0.7500 0.2500 0.5000

=====

4.
VASP calculation (PBE) on a relaxed structure of AcZn2Ir2.

Properties
N(E_F) ... 3.28 states/eV/f.u.
Formation enthalpy at 0 K ... -0.48 eV per atom

Cell lengths 4.2037, 4.2037, 5.6933 Å; angles 90.00, 90.00, 90.00 degrees
Atoms (fractional coordinates):
Ac: 0.0000 0.0000 0.0000
Zn: 0.0000 0.5000 0.5000
Zn: 0.5000 0.0000 0.5000
Ir: 0.5000 0.5000 0.2264
Ir: 0.5000 0.5000 0.7736

=====

5.
VASP calculation (PBE) on a relaxed structure of AcZnIr.

Properties
N(E_F) ... 1.15 states/eV/f.u.
Formation enthalpy at 0 K ... -0.54 eV per atom

Cell lengths 7.4112, 4.3086, 8.5112 Å; angles 90.00, 90.00, 90.00 degrees
Atoms (fractional coordinates):
Ac: 0.0293 0.2500 0.1900
Ac: 0.4707 0.7500 0.6900
Ac: 0.5293 0.2500 0.3100
Ac: 0.9707 0.7500 0.8100
Zn: 0.1432 0.2500 0.5633
Zn: 0.3568 0.7500 0.0633
Zn: 0.6432 0.2500 0.9367
Zn: 0.8568 0.7500 0.4367
Ir: 0.2292 0.7500 0.3878
Ir: 0.2708 0.2500 0.8878
Ir: 0.7292 0.7500 0.1122
Ir: 0.7708 0.2500 0.6122

=====

6.
VASP calculation (PBE) on a relaxed structure of Ac3Zn2Ir4.

Properties
N(E_F) ... 8.50 states/eV/f.u.
Formation enthalpy at 0 K ... -0.51 eV per atom

Cell lengths 4.4100, 4.4100, 26.2319 Å; angles 90.00, 90.00, 120.00 degrees
Atoms (fractional coordinates):
Ac: 0.0000 0.0000 0.0796
Ac: 0.0000 0.0000 0.2462
Ac: 0.0000 0.0000 0.4033
Ac: 0.0000 0.0000 0.5967
Ac: 0.0000 0.0000 0.7538
Ac: 0.0000 0.0000 0.9204
Zn: 0.3333 0.6667 0.5000
Zn: 0.6667 0.3333 0.1632
Zn: 0.6667 0.3333 0.5000
Zn: 0.6667 0.3333 0.8368
Ir: 0.3333 0.6667 0.0000
Ir: 0.3333 0.6667 0.1640
Ir: 0.3333 0.6667 0.3273
Ir: 0.3333 0.6667 0.6727
Ir: 0.3333 0.6667 0.8360
Ir: 0.6667 0.3333 0.0000
Ir: 0.6667 0.3333 0.3270
Ir: 0.6667 0.3333 0.6730

=====

7.
VASP calculation (PBE) on a relaxed structure of AcZnIr.

Properties
N(E_F) ... 1.29 states/eV/f.u.
Formation enthalpy at 0 K ... -0.55 eV per atom

Cell lengths 4.4480, 4.4480, 8.3367 Å; angles 90.00, 90.00, 120.13 degrees
Atoms (fractional coordinates):
Ac: 0.0000 0.0000 0.0000
Ac: 0.0000 0.0000 0.5000
Zn: 0.3329 0.6671 0.7500
Zn: 0.6671 0.3329 0.2500
Ir: 0.3342 0.6658 0.2500
Ir: 0.6658 0.3342 0.7500

=====

8.
VASP calculation (PBE) on a relaxed structure of Ac2ZnIr.

Properties
N(E_F) ... 2.18 states/eV/f.u.
Formation enthalpy at 0 K ... -0.37 eV per atom

Cell lengths 3.8030, 3.8030, 7.6798 Å; angles 90.00, 90.00, 90.00 degrees
Atoms (fractional coordinates):
Ac: 0.0000 0.0000 0.2302
Ac: 0.0000 0.0000 0.7698
Zn: 0.5000 0.5000 0.5000
Ir: 0.5000 0.5000 0.0000